Material: NdSm2Eu
Method: DFT, PBE
State: optimized geometry

```
data_NdSm2Eu
_cell_length_a 8.293
_cell_length_b 8.293
_cell_length_c 8.293
_cell_angle_alpha 90.00
_cell_angle_beta 90.00
_cell_angle_gamma 90.00
_space_group_name_H-M_alt 'F m -3 m'
_space_group_IT_number 225
_space_group_name_Hall '-F 4 2 3'
loop_
_atom_site_label
_atom_site_type_symbol
_atom_site_fract_x
_atom_site_fract_y
_atom_site_fract_z
_atom_site_occupancy
Nd1 Nd 0.000 0.000 0.000 1
Sm1 Sm 0.250 0.250 0.250 1
Eu1 Eu 0.000 0.000 0.500 1
```

## Properties
The value obtained for the polymorph energy (0 for the lowest one) is 39.6 kJ/mol of formula units. The energy of formation from the pure elements comes out at 148 meV/atom.



Material: NdSmEuSn
Method: DFT, PBE
State: optimized geometry

```
data_NdSmEuSn
_cell_length_a 7.876
_cell_length_b 7.876
_cell_length_c 7.876
_cell_angle_alpha 90.00
_cell_angle_beta 90.00
_cell_angle_gamma 90.00
_space_group_name_H-M_alt 'F -4 3 m'
_space_group_IT_number 216
_space_group_name_Hall 'F -4 2 3'
loop_
_atom_site_label
_atom_site_type_symbol
_atom_site_fract_x
_atom_site_fract_y
_atom_site_fract_z
_atom_site_occupancy
Nd1 Nd 0.000 0.000 0.000 1
Sm1 Sm 0.000 0.000 0.500 1
Eu1 Eu 0.250 0.250 0.250 1
Sn1 Sn 0.250 0.250 0.750 1
```

## Properties
The energy of formation from the pure elements comes out at -282 meV/atom.



Material: SrNdSmEu
Method: DFT, PBE
State: optimized geometry

```
data_SrNdSmEu
_cell_length_a 8.595
_cell_length_b 8.595
_cell_length_c 8.595
_cell_angle_alpha 90.00
_cell_angle_beta 90.00
_cell_angle_gamma 90.00
_space_group_name_H-M_alt 'F -4 3 m'
_space_group_IT_number 216
_space_group_name_Hall 'F -4 2 3'
loop_
_atom_site_label
_atom_site_type_symbol
_atom_site_fract_x
_atom_site_fract_y
_atom_site_fract_z
_atom_site_occupancy
Sr1 Sr 0.000 0.000 0.000 1
Nd1 Nd 0.250 0.250 0.250 1
Sm1 Sm 0.000 0.000 0.500 1
Eu1 Eu 0.250 0.250 0.750 1
```

## Properties
The energy of formation from the pure elements comes out at 183 meV/atom.



Material: TbNdSmEu
Method: DFT, PBE
State: optimized geometry

```
data_TbNdSmEu
_cell_length_a 8.254
_cell_length_b 8.254
_cell_length_c 8.254
_cell_angle_alpha 90.00
_cell_angle_beta 90.00
_cell_angle_gamma 90.00
_space_group_name_H-M_alt 'F -4 3 m'
_space_group_IT_number 216
_space_group_name_Hall 'F -4 2 3'
loop_
_atom_site_label
_atom_site_type_symbol
_atom_site_fract_x
_atom_site_fract_y
_atom_site_fract_z
_atom_site_occupancy
Tb1 Tb 0.000 0.000 0.000 1
Nd1 Nd 0.250 0.250 0.250 1
Sm1 Sm 0.000 0.000 0.500 1
Eu1 Eu 0.250 0.250 0.750 1
```

## Properties
The energy of formation from the pure elements comes out at 154 meV/atom.



Copy entry 2 word for word.
Material: NdSmEuSn
Method: DFT, PBE
State: optimized geometry

```
data_NdSmEuSn
_cell_length_a 7.876
_cell_length_b 7.876
_cell_length_c 7.876
_cell_angle_alpha 90.00
_cell_angle_beta 90.00
_cell_angle_gamma 90.00
_space_group_name_H-M_alt 'F -4 3 m'
_space_group_IT_number 216
_space_group_name_Hall 'F -4 2 3'
loop_
_atom_site_label
_atom_site_type_symbol
_atom_site_fract_x
_atom_site_fract_y
_atom_site_fract_z
_atom_site_occupancy
Nd1 Nd 0.000 0.000 0.000 1
Sm1 Sm 0.000 0.000 0.500 1
Eu1 Eu 0.250 0.250 0.250 1
Sn1 Sn 0.250 0.250 0.750 1
```

## Properties
The energy of formation from the pure elements comes out at -282 meV/atom.